# Nd3Dy2YBi6, relaxed, DFT GGA-PBE
data_Nd3Dy2YBi6
_chemical_formula_sum 'Nd3 Dy2 Y1 Bi6'
_symmetry_space_group_name_H-M 'P 1'
_symmetry_Int_Tables_number 1
_cell_length_a 4.547
_cell_length_b 9.085
_cell_length_c 10.157
_cell_angle_alpha 102.78
_cell_angle_beta 102.94
_cell_angle_gamma 90.00
loop_
_symmetry_equiv_pos_as_xyz
'x,y,z'
loop_
_atom_site_label
_atom_site_fract_x
_atom_site_fract_y
_atom_site_fract_z
Nd1 0.500 0.500 0.000
Nd2 0.833 0.167 0.667
Nd3 0.167 0.833 0.333
Dy1 0.833 0.667 0.667
Dy2 0.167 0.333 0.333
Y1 0.500 0.000 0.000
Bi1 0.335 0.912 0.670
Bi2 0.669 0.578 0.337
Bi3 0.665 0.088 0.330
Bi4 0.002 0.246 0.004
Bi5 0.998 0.754 0.996
Bi6 0.331 0.422 0.663
# N(E_F) in states/eV/f.u.: 2.02
# Magnetization in μB/atom: 0.000
# Final energy in eV/atom: -5.3471